Entry from the Alexandria database: a relaxed structure of Ac3PmNd8 (PBE).

```
data_Ac3PmNd8
_cell_length_a 6.716
_cell_length_b 11.805
_cell_length_c 12.050
_cell_angle_alpha 90.00
_cell_angle_beta 90.00
_cell_angle_gamma 90.00
_symmetry_space_group_name_H-M 'I m m m'
_symmetry_Int_Tables_number 71
_symmetry_space_group_name_Hall '-I 2 2'
loop_
_atom_site_label
_atom_site_type_symbol
_atom_site_fract_x
_atom_site_fract_y
_atom_site_fract_z
_atom_site_occupancy
Ac1 Ac 0.000 0.000 0.000 1
Ac2 Ac 0.000 0.245 0.500 1
Pm1 Pm 0.000 0.500 0.000 1
Nd1 Nd 0.000 0.253 0.173 1
Nd2 Nd 0.242 0.000 0.261 1
```

Calculated values
Formation energy from the elements (eV/atom): 0.23